Computed, not measured: an optimized crystal structure of Sc2Fe2O at the PBE+U level of DFT.

The structure belongs to space group I4/mmm (No. 139); the cell edges are 3.237, 3.237 and 15.233 Å and the angles 90.00°, 90.00° and 90.00°. The asymmetric unit holds Sc at (0.000, 0.000, 0.093), Fe at (0.000, 0.500, 0.250) and O at (0.000, 0.000, 0.500).

As for the energy: -58.59 eV/cell.